PBE Sc5ZnCd2Rh2, optimized geometry; calculated formation energy = -4.90 eV per formula unit; crystal system = tetragonal
1.0
10.924 0.000 0.000
0.000 10.924 0.000
0.000 0.000 3.456
Sc Zn Cd Rh
10 2 4 4
Direct
0.000 0.500 0.000
0.074 0.199 0.000
0.199 0.926 0.000
0.301 0.426 0.000
0.426 0.699 0.000
0.500 0.000 0.000
0.574 0.301 0.000
0.699 0.574 0.000
0.801 0.074 0.000
0.926 0.801 0.000
0.000 0.000 0.500
0.500 0.500 0.500
0.172 0.672 0.500
0.328 0.172 0.500
0.672 0.828 0.500
0.828 0.328 0.500
0.130 0.370 0.500
0.370 0.870 0.500
0.630 0.130 0.500
0.870 0.630 0.500

PBE CdRhSe2, optimized geometry; formation energy (no corrections) = -66 kJ/mol of formula units; crystal system = monoclinic
1.0
3.972 0.000 0.000
0.000 5.188 0.000
-0.631 0.000 4.175
Cd Rh Se
1 1 2
Direct
0.000 0.000 0.000
0.477 0.500 0.573
0.430 0.000 0.571
0.899 0.500 0.210